Below is a geometry-optimized CuAg structure, with properties calculated at the PBE level.

Final energy: -3.17 eV/atom

Cell: 4.7886 5.5582 9.1074 Å, 90.00 100.09 90.00°
With the nearest neighbours (Å) after each atom.
Space group P2/m (No. 10)
Asymmetric unit:
Cu (0.1172, 0.0000, 0.3680)  9 Ag 2.69-2.82, 3 Cu 2.78-2.83
Cu (0.1285, 0.2627, 0.8816)  6 Cu 2.58-2.78, 4 Ag 2.66-2.74
Cu (0.3758, 0.5000, 0.1115)  7 Cu 2.53-2.76, 3 Ag 2.73-2.78
Ag (0.1300, 0.5000, 0.3600)  5 Cu 2.68-2.78, 6 Ag 2.78-2.88
Ag (0.3501, 0.0000, 0.1182)  9 Cu 2.66-2.89, 3 Ag 2.79-2.81
Ag (0.3662, 0.2455, 0.6287)  5 Cu 2.69-2.85, 7 Ag 2.73-2.88